First-principles (GGA-PBE) data for a relaxed La2ZrCr crystal, as listed in the Alexandria database.

CIF file:
```
data_La2ZrCr
_cell_length_a 7.5249
_cell_length_b 7.5249
_cell_length_c 7.5249
_cell_angle_alpha 90.00
_cell_angle_beta 90.00
_cell_angle_gamma 90.00
_space_group_name_H-M_alt 'F -4 3 m'
_space_group_IT_number 216
_space_group_name_Hall 'F -4 2 3'
loop_
_atom_site_label
_atom_site_type_symbol
_atom_site_fract_x
_atom_site_fract_y
_atom_site_fract_z
_atom_site_occupancy
La1 La 0.0000 0.0000 0.0000 1
La2 La 0.2500 0.2500 0.2500 1
Zr1 Zr 0.0000 0.0000 0.5000 1
Cr1 Cr 0.2500 0.2500 0.7500 1
```

Distance to the lowest polymorph of the same formula, meV/atom: 152
Size of the total moment, μB/cell: 7.23
DFT formation energy, meV per atom: 438.7
Total DFT energy (no corrections), eV/atom: -6.568

---

First-principles (GGA-PBE) data for a relaxed La2Tb4Sc crystal, as listed in the Alexandria database.

CIF file:
```
data_La2Tb4Sc
_cell_length_a 9.7375
_cell_length_b 9.7375
_cell_length_c 9.7568
_cell_angle_alpha 90.00
_cell_angle_beta 90.00
_cell_angle_gamma 90.00
_space_group_name_H-M_alt 'I -4 2 d'
_space_group_IT_number 122
_space_group_name_Hall 'I -4 2bw'
loop_
_atom_site_label
_atom_site_type_symbol
_atom_site_fract_x
_atom_site_fract_y
_atom_site_fract_z
_atom_site_occupancy
La1 La 0.1211 0.7500 0.1250 1
Tb1 Tb 0.0767 0.6757 0.4617 1
Sc1 Sc 0.0000 0.0000 0.5000 1
```

Distance to the lowest polymorph of the same formula, meV/atom: 0
Size of the total moment, μB/cell: 0.00
DFT formation energy, meV per atom: 278.9
Total DFT energy (no corrections), eV/atom: -4.679

---

First-principles (GGA-PBE) data for a relaxed TiTl2Ni2 crystal, as listed in the Alexandria database.

CIF file:
```
data_TiTl2Ni2
_cell_length_a 6.4706
_cell_length_b 6.4706
_cell_length_c 4.1805
_cell_angle_alpha 90.00
_cell_angle_beta 90.00
_cell_angle_gamma 90.00
_space_group_name_H-M_alt 'P 4/m b m'
_space_group_IT_number 127
_space_group_name_Hall '-P 4 2ab'
loop_
_atom_site_label
_atom_site_type_symbol
_atom_site_fract_x
_atom_site_fract_y
_atom_site_fract_z
_atom_site_occupancy
Ti1 Ti 0.0000 0.0000 0.0000 1
Tl1 Tl 0.1808 0.3192 0.5000 1
Ni1 Ni 0.1292 0.6292 0.0000 1
```

Size of the total moment, μB/cell: 0.00
DFT formation energy, meV per atom: 176.9
Total DFT energy (no corrections), eV/atom: -4.661

---

First-principles (GGA-PBE) data for a relaxed TlPb2Se crystal, as listed in the Alexandria database.

CIF file:
```
data_TlPb2Se
_cell_length_a 4.0885
_cell_length_b 4.9093
_cell_length_c 6.5062
_cell_angle_alpha 90.00
_cell_angle_beta 108.03
_cell_angle_gamma 90.00
_space_group_name_H-M_alt 'P 1 m 1'
_space_group_IT_number 6
loop_
_space_group_symop_operation_xyz
'x,y,z'
'x,-y,z'
loop_
_atom_site_label
_atom_site_type_symbol
_atom_site_fract_x
_atom_site_fract_y
_atom_site_fract_z
_atom_site_occupancy
Tl1 Tl 0.0000 0.0000 0.0000 1
Pb1 Pb 0.2694 0.0000 0.5500 1
Pb2 Pb 0.6675 0.5000 0.3444 1
Se1 Se 0.4469 0.5000 0.8848 1
```

Distance to the lowest polymorph of the same formula, meV/atom: 30
Size of the total moment, μB/cell: 0.00
Total DFT energy (no corrections), eV/atom: -3.439

---

First-principles (GGA-PBE) data for a relaxed Tb7Er3Th2 crystal, as listed in the Alexandria database.

CIF file:
```
data_Tb7Er3Th2
_cell_length_a 5.7729
_cell_length_b 3.5653
_cell_length_c 18.8540
_cell_angle_alpha 90.00
_cell_angle_beta 93.64
_cell_angle_gamma 90.00
_space_group_name_H-M_alt 'P 1 2/m 1'
_space_group_IT_number 10
loop_
_space_group_symop_operation_xyz
'x,y,z'
'-x,-y,-z'
'-x,y,-z'
'x,-y,z'
loop_
_atom_site_label
_atom_site_type_symbol
_atom_site_fract_x
_atom_site_fract_y
_atom_site_fract_z
_atom_site_occupancy
Tb1 Tb 0.0000 0.0000 0.0000 1
Tb2 Tb 0.1820 0.5000 0.1775 1
Tb3 Tb 0.2581 0.5000 0.5393 1
Tb4 Tb 0.3197 0.0000 0.8583 1
Er1 Er 0.2221 0.0000 0.3703 1
Er2 Er 0.5000 0.5000 0.0000 1
Th1 Th 0.2928 0.5000 0.7064 1
```

Distance to the lowest polymorph of the same formula, meV/atom: 0
Size of the total moment, μB/cell: 0.00
DFT formation energy, meV per atom: 123.9
Total DFT energy (no corrections), eV/atom: -4.954

---

First-principles (GGA-PBE) data for a relaxed KGa2TeO6 crystal, as listed in the Alexandria database.

CIF file:
```
data_KGa2TeO6
_cell_length_a 9.7664
_cell_length_b 10.4261
_cell_length_c 5.6061
_cell_angle_alpha 90.00
_cell_angle_beta 97.45
_cell_angle_gamma 90.00
_space_group_name_H-M_alt 'C 1 2/c 1'
_space_group_IT_number 15
loop_
_space_group_symop_operation_xyz
'x,y,z'
'-x,-y,-z'
'-x,y,-z+1/2'
'x,-y,z+1/2'
'x+1/2,y+1/2,z'
'-x+1/2,-y+1/2,-z'
'-x+1/2,y+1/2,-z+1/2'
'x+1/2,-y+1/2,z+1/2'
loop_
_atom_site_label
_atom_site_type_symbol
_atom_site_fract_x
_atom_site_fract_y
_atom_site_fract_z
_atom_site_occupancy
K1 K 0.0000 0.0790 0.2500 1
Ga1 Ga 0.1923 0.4074 0.2759 1
Te1 Te 0.0000 0.2851 0.7500 1
O1 O 0.0987 0.2850 0.0840 1
O2 O 0.1226 0.1475 0.6667 1
O3 O 0.1605 0.4360 0.6003 1
```

Size of the total moment, μB/cell: 0.00
Total DFT energy (no corrections), eV/atom: -5.438